*P*
First-principles (meta-GGA SCAN) data for a PBEsol-optimized structure of Mg2TcOs, as listed in the Alexandria database.

Results
Crystal system: tetragonal
Space group: P4mm

Cell lengths 2.969, 2.969, 7.346 Å; angles 90.00, 90.00, 90.00 degrees
Fractional coordinates of all 4 atoms:
Tc: 0.500 0.500 0.725
Mg: 0.000 0.000 0.972
Mg: 0.500 0.500 0.281
Os: 0.000 0.000 0.522

=====

*Q*
First-principles (meta-GGA SCAN) data for a PBEsol-optimized structure of Mg2TcOs, as listed in the Alexandria database.

Results
Crystal system: tetragonal
Space group: P4/mmm

Cell lengths 3.379, 3.379, 5.363 Å; angles 90.00, 90.00, 90.00 degrees
Fractional coordinates of all 4 atoms:
Tc: 0.500 0.500 0.500
Mg: 0.000 0.000 0.752
Os: 0.500 0.500 0.000
Mg: 0.000 0.000 0.248

=====

Stability ranking, top and bottom: *P* is the most stable and *Q* is the least stable.

=====

*P*
First-principles (meta-GGA SCAN) data for a PBEsol-optimized structure of BeAl2Hg, as listed in the Alexandria database.

Results
Crystal system: monoclinic
Space group: C2/m

Cell lengths 3.006, 4.485, 5.579 Å; angles 111.64, 102.70, 97.07 degrees
Fractional coordinates of all 4 atoms:
Hg: 0.500 0.500 0.000
Al: 0.000 0.000 0.500
Be: 0.000 0.000 0.000
Al: 0.500 0.500 0.500

=====

*Q*
First-principles (meta-GGA SCAN) data for a PBEsol-optimized structure of BeAl2Hg, as listed in the Alexandria database.

Results
Crystal system: trigonal
Space group: R-3m

Cell lengths 3.047, 3.047, 8.231 Å; angles 79.33, 79.33, 60.00 degrees
Fractional coordinates of all 4 atoms:
Be: 0.500 0.500 0.500
Al: 0.240 0.240 0.281
Al: 0.760 0.760 0.719
Hg: 0.000 0.000 0.000

=====

Stability ranking, top and bottom: *Q* is the most stable and *P* is the least stable.

=====

*P*
First-principles (meta-GGA SCAN) data for a PBEsol-optimized structure of TlCd2Ge2, as listed in the Alexandria database.

Results
Crystal system: tetragonal
Space group: I4/mmm

Cell lengths 4.557, 4.557, 6.453 Å; angles 110.68, 110.68, 90.00 degrees
Fractional coordinates of all 5 atoms:
Ge: 0.391 0.391 0.782
Ge: 0.609 0.609 0.218
Cd: 0.250 0.750 0.500
Cd: 0.750 0.250 0.500
Tl: 0.000 0.000 0.000

=====

*Q*
First-principles (meta-GGA SCAN) data for a PBEsol-optimized structure of TlCd2Ge2, as listed in the Alexandria database.

Results
Crystal system: tetragonal
Space group: I4/mmm

Cell lengths 4.044, 4.044, 7.486 Å; angles 105.67, 105.67, 90.00 degrees
Fractional coordinates of all 5 atoms:
Cd: 0.397 0.397 0.794
Ge: 0.750 0.250 0.500
Tl: 0.000 0.000 0.000
Cd: 0.603 0.603 0.206
Ge: 0.250 0.750 0.500

=====

Stability ranking, top and bottom: *P* is the most stable and *Q* is the least stable.

=====

*P*
First-principles (meta-GGA SCAN) data for a PBEsol-optimized structure of Li2CuNi, as listed in the Alexandria database.

Results
Crystal system: orthorhombic
Space group: Pmmm

Cell lengths 2.718, 4.075, 4.133 Å; angles 90.00, 90.00, 90.00 degrees
Fractional coordinates of all 4 atoms:
Li: 0.000 0.000 0.000
Li: 0.500 0.500 0.000
Cu: 0.000 0.500 0.500
Ni: 0.500 0.000 0.500

=====

*Q*
First-principles (meta-GGA SCAN) data for a PBEsol-optimized structure of Li2CuNi, as listed in the Alexandria database.

Results
Crystal system: monoclinic
Space group: Pm

Cell lengths 2.439, 3.877, 5.182 Å; angles 90.00, 107.04, 90.00 degrees
Fractional coordinates of all 4 atoms:
Li: 0.965 0.000 0.996
Cu: 0.212 0.500 0.728
Ni: 0.539 0.000 0.517
Li: 0.783 0.500 0.259

=====

Stability ranking, top and bottom: *P* is the most stable and *Q* is the least stable.

=====

*P*
First-principles (meta-GGA SCAN) data for a PBEsol-optimized structure of TlCo2S2, as listed in the Alexandria database.

Results
Crystal system: tetragonal
Space group: I4/mmm

Cell lengths 4.078, 4.078, 5.748 Å; angles 110.78, 110.78, 90.00 degrees
Fractional coordinates of all 5 atoms:
Co: 0.333 0.333 0.666
Tl: 0.000 0.000 0.000
S: 0.750 0.250 0.500
S: 0.250 0.750 0.500
Co: 0.667 0.667 0.334

=====

*Q*
First-principles (meta-GGA SCAN) data for a PBEsol-optimized structure of TlCo2S2, as listed in the Alexandria database.

Results
Crystal system: tetragonal
Space group: I4/mmm

Cell lengths 3.652, 3.652, 6.837 Å; angles 105.49, 105.49, 90.00 degrees
Each line ends with the local moment (μB).
Fractional coordinates of all 5 atoms:
Co: 0.250 0.750 0.500  0.90
S: 0.344 0.344 0.687  0.05
S: 0.656 0.656 0.313  0.05
Tl: 0.000 0.000 0.000  0.01
Co: 0.750 0.250 0.500  0.90

=====

Stability ranking, top and bottom: *Q* is the most stable and *P* is the least stable.

=====

*P*
First-principles (meta-GGA SCAN) data for a PBEsol-optimized structure of K2InTe, as listed in the Alexandria database.

Results
Crystal system: orthorhombic
Space group: Cmmm

Cell lengths 3.474, 6.362, 6.362 Å; angles 110.16, 90.00, 90.00 degrees
Fractional coordinates of all 4 atoms:
In: 0.500 0.500 0.500
Te: 0.500 0.000 0.000
K: 0.000 0.500 0.000
K: 0.000 0.000 0.500

=====

*Q*
First-principles (meta-GGA SCAN) data for a PBEsol-optimized structure of K2InTe, as listed in the Alexandria database.

Results
Crystal system: orthorhombic
Space group: Imm2

Cell lengths 4.322, 5.530, 7.069 Å; angles 113.03, 107.80, 90.00 degrees
Fractional coordinates of all 4 atoms:
Te: 0.531 0.531 0.062
In: 0.202 0.702 0.403
K: 0.987 0.987 0.974
K: 0.780 0.280 0.560

=====

Stability ranking, top and bottom: *Q* is the most stable and *P* is the least stable.

=====

*P*
First-principles (meta-GGA SCAN) data for a PBEsol-optimized structure of MgSi2SnO6, as listed in the Alexandria database.

Results
Crystal system: orthorhombic
Space group: Pbca

Cell lengths 5.374, 9.097, 19.243 Å; angles 90.00, 90.00, 90.00 degrees
Fractional coordinates of all 80 atoms:
Sn: 0.627 0.036 0.879
O: 0.706 0.835 0.430
O: 0.706 0.335 0.070
O: 0.759 0.762 0.710
Si: 0.002 0.342 0.265
O: 0.934 0.232 0.958
Sn: 0.873 0.536 0.121
Sn: 0.873 0.036 0.379
Mg: 0.872 0.151 0.126
O: 0.243 0.002 0.947
Si: 0.799 0.341 0.484
O: 0.757 0.498 0.447
O: 0.566 0.732 0.042
Mg: 0.128 0.849 0.874
O: 0.977 0.502 0.695
Si: 0.701 0.841 0.516
O: 0.257 0.002 0.447
Si: 0.701 0.341 0.984
Si: 0.502 0.658 0.235
O: 0.794 0.835 0.930
Sn: 0.127 0.464 0.879
O: 0.206 0.665 0.430
O: 0.977 0.002 0.805
O: 0.523 0.502 0.195
O: 0.523 0.002 0.305
Mg: 0.128 0.349 0.626
Si: 0.998 0.158 0.765
O: 0.527 0.161 0.180
O: 0.243 0.502 0.553
O: 0.027 0.839 0.320
O: 0.794 0.335 0.570
O: 0.473 0.839 0.820
Si: 0.799 0.841 0.016
O: 0.241 0.738 0.210
O: 0.759 0.262 0.790
Mg: 0.372 0.849 0.374
O: 0.257 0.502 0.053
Si: 0.002 0.842 0.235
O: 0.973 0.161 0.680
Sn: 0.373 0.464 0.379
O: 0.743 0.498 0.947
Mg: 0.628 0.651 0.874
O: 0.566 0.232 0.458
Sn: 0.627 0.536 0.621
O: 0.934 0.732 0.542
O: 0.434 0.768 0.542
Si: 0.299 0.159 0.484
Si: 0.201 0.659 0.516
Si: 0.498 0.842 0.735
O: 0.294 0.665 0.930
O: 0.027 0.339 0.180
O: 0.241 0.238 0.290
Mg: 0.372 0.349 0.126
Mg: 0.872 0.651 0.374
O: 0.294 0.165 0.570
O: 0.473 0.339 0.680
O: 0.023 0.498 0.305
Sn: 0.127 0.964 0.621
O: 0.527 0.661 0.320
O: 0.434 0.268 0.958
O: 0.973 0.661 0.820
Mg: 0.628 0.151 0.626
Si: 0.502 0.158 0.265
O: 0.259 0.738 0.710
Sn: 0.373 0.964 0.121
Si: 0.299 0.659 0.016
O: 0.477 0.998 0.695
Si: 0.201 0.159 0.984
O: 0.023 0.998 0.195
O: 0.206 0.165 0.070
O: 0.066 0.268 0.458
O: 0.743 0.998 0.553
O: 0.477 0.498 0.805
Si: 0.998 0.658 0.735
O: 0.259 0.238 0.790
O: 0.741 0.762 0.210
O: 0.741 0.262 0.290
O: 0.757 0.998 0.053
O: 0.066 0.768 0.042
Si: 0.498 0.342 0.765

=====

*Q*
First-principles (meta-GGA SCAN) data for a PBEsol-optimized structure of MgSi2SnO6, as listed in the Alexandria database.

Results
Crystal system: monoclinic
Space group: C2/c

Cell lengths 5.459, 7.204, 7.204 Å; angles 83.59, 75.67, 75.67 degrees
Fractional coordinates of all 20 atoms:
O: 0.048 0.712 0.734
Si: 0.779 0.633 0.826
O: 0.168 0.051 0.672
O: 0.952 0.288 0.266
O: 0.878 0.407 0.779
Si: 0.221 0.367 0.174
Si: 0.279 0.826 0.633
Mg: 0.250 0.293 0.707
Sn: 0.750 0.144 0.856
O: 0.378 0.779 0.407
O: 0.622 0.221 0.593
Si: 0.721 0.174 0.367
O: 0.452 0.266 0.288
O: 0.832 0.949 0.328
Mg: 0.750 0.707 0.293
O: 0.122 0.593 0.221
O: 0.548 0.734 0.712
O: 0.332 0.328 0.949
Sn: 0.250 0.856 0.144
O: 0.668 0.672 0.051

=====

Stability ranking, top and bottom: *P* is the most stable and *Q* is the least stable.

=====

*P*
First-principles (meta-GGA SCAN) data for a PBEsol-optimized structure of AlBPS2, as listed in the Alexandria database.

Results
Crystal system: tetragonal
Space group: P4/mmm

Cell lengths 3.832, 4.328, 4.328 Å; angles 90.00, 90.00, 90.00 degrees
Fractional coordinates of all 5 atoms:
Al: 0.500 0.500 0.500
S: 0.000 0.500 0.000
S: 0.000 0.000 0.500
P: 0.500 0.000 0.000
B: 0.000 0.000 0.000

=====

*Q*
First-principles (meta-GGA SCAN) data for a PBEsol-optimized structure of AlBPS2, as listed in the Alexandria database.

Results
Crystal system: tetragonal
Space group: P4/mmm

Cell lengths 4.018, 4.617, 4.617 Å; angles 90.00, 90.00, 90.00 degrees
Fractional coordinates of all 5 atoms:
Al: 0.000 0.000 0.000
B: 0.500 0.000 0.000
S: 0.000 0.500 0.000
S: 0.000 0.000 0.500
P: 0.500 0.500 0.500

=====

Stability ranking, top and bottom: *P* is the most stable and *Q* is the least stable.

=====

*P*
First-principles (meta-GGA SCAN) data for a PBEsol-optimized structure of LiCd5, as listed in the Alexandria database.

Results
Crystal system: cubic
Space group: F-43m

Cell lengths 5.654, 5.654, 5.654 Å; angles 60.00, 60.00, 60.00 degrees
Fractional coordinates of all 6 atoms:
Cd: 0.250 0.250 0.250
Cd: 0.125 0.625 0.625
Cd: 0.625 0.625 0.625
Cd: 0.625 0.625 0.125
Cd: 0.625 0.125 0.625
Li: 0.000 0.000 0.000

=====

*Q*
First-principles (meta-GGA SCAN) data for a PBEsol-optimized structure of LiCd5, as listed in the Alexandria database.

Results
Crystal system: orthorhombic
Space group: Cmmm

Cell lengths 4.306, 4.322, 6.760 Å; angles 90.00, 108.58, 90.00 degrees
Fractional coordinates of all 6 atoms:
Cd: 0.834 0.000 0.669
Li: 0.500 0.000 0.000
Cd: 0.662 0.500 0.324
Cd: 0.000 0.500 0.000
Cd: 0.166 0.000 0.331
Cd: 0.338 0.500 0.676

=====

Stability ranking, top and bottom: *Q* is the most stable and *P* is the least stable.